VASP calculation (GGA-PBE) on NbCo2 after structural relaxation.

space-group type	No. 194
E_tot	-99.0	eV per cell
crystal system	hexagonal
ΔH_f (0 K)	-147	meV per atom

Lattice parameters (Å, degrees): 4.7669 4.7669 7.7268 90.00 90.00 120.00
Closest atoms and distances in Å follow each position.
Atoms (fractional coordinates):
Co  0.0000  0.0000  0.0000  6 Co 2.38
Co  0.3380  0.1690  0.2500  6 Co 2.35-2.42
Co  0.8310  0.1690  0.2500  6 Co 2.35-2.42
Co  0.8310  0.6620  0.2500  6 Co 2.35-2.42
Co  0.0000  0.0000  0.5000  6 Co 2.38
Co  0.1690  0.3380  0.7500  6 Co 2.35-2.42
Co  0.1690  0.8310  0.7500  6 Co 2.35-2.42
Co  0.6620  0.8310  0.7500  6 Co 2.35-2.42
Nb  0.3333  0.6667  0.0643  12 Co 2.78-2.80, 4 Nb 2.87-2.93
Nb  0.3333  0.6667  0.4357  12 Co 2.78-2.80, 4 Nb 2.87-2.93
Nb  0.6667  0.3333  0.5643  12 Co 2.78-2.80, 4 Nb 2.87-2.93
Nb  0.6667  0.3333  0.9357  12 Co 2.78-2.80, 4 Nb 2.87-2.93

VASP calculation (GGA-PBE) on GdHoCo2 after structural relaxation.

space-group type	No. 26
E_tot	-48.4	eV per cell
crystal system	orthorhombic
ΔH_f (0 K)	-192	meV per atom

Lattice parameters (Å, degrees): 3.8904 5.5272 7.3597 90.00 90.00 90.00
Closest atoms and distances in Å follow each position.
Atoms (fractional coordinates):
Co  0.0000  0.6455  0.0288  2 Co 2.28
Co  0.5000  0.1537  0.4727  2 Co 2.28
Co  0.0000  0.3545  0.5288  2 Co 2.28
Co  0.5000  0.8463  0.9727  2 Co 2.28
Gd  0.0000  0.1314  0.1771  7 Co 2.87-3.04
Gd  0.0000  0.8686  0.6771  7 Co 2.87-3.04
Ho  0.5000  0.6304  0.3214  7 Co 2.83-3.10
Ho  0.5000  0.3696  0.8214  7 Co 2.83-3.10

VASP calculation (GGA-PBE) on Sm2Sc2CI4Cl after structural relaxation.

space-group type	No. 12
E_tot	-50.3	eV per cell
crystal system	monoclinic

Lattice parameters (Å, degrees): 9.4548 9.4548 8.3230 102.82 102.82 23.57
Closest atoms and distances in Å follow each position.
Atoms (fractional coordinates):
C  0.5000  0.5000  0.0000  2 Sm 2.43, 4 Sc 2.46
Cl  0.5000  0.5000  0.5000  4 Sc 3.27
I  0.8370  0.8370  0.1978  1 Sc 3.04, 2 Sm 3.09
I  0.1568  0.1568  0.3628  1 Sc 2.96, 2 Sm 3.06
I  0.8432  0.8432  0.6372  1 Sc 2.96, 2 Sm 3.06
I  0.1630  0.1630  0.8022  1 Sc 3.04, 2 Sm 3.09
Sc  0.9993  0.9993  0.1826  2 C 2.46
Sc  0.0007  0.0007  0.8174  2 C 2.46
Sm  0.6351  0.6351  0.0710  1 C 2.43
Sm  0.3649  0.3649  0.9290  1 C 2.43

VASP calculation (GGA-PBE) on LaSiPPd2 after structural relaxation.

space-group type	No. 107
E_tot	-31.2	eV per cell
crystal system	tetragonal

Lattice parameters (Å, degrees): 5.8478 5.8478 5.8478 137.47 137.47 61.71
Closest atoms and distances in Å follow each position.
Atoms (fractional coordinates):
La  0.0034  0.0034  0.0000  4 P 3.19, 4 Si 3.24, 8 Pd 3.28-3.29
P  0.6107  0.6107  0.0000  1 Si 2.32, 4 Pd 2.56
Pd  0.7529  0.2529  0.5000  2 Si 2.48, 2 P 2.56
Pd  0.2529  0.7529  0.5000  2 Si 2.48, 2 P 2.56
Si  0.3801  0.3801  0.0000  1 P 2.32, 4 Pd 2.48

VASP calculation (GGA-PBE) on TaNbCSe2 after structural relaxation.

space-group type	No. 156
E_tot	-42.1	eV per cell
crystal system	trigonal

Lattice parameters (Å, degrees): 3.3327 3.3327 9.8940 90.00 90.00 120.00
Closest atoms and distances in Å follow each position.
Atoms (fractional coordinates):
C  0.0000  0.0000  0.9969  3 Ta 2.23, 3 Nb 2.27
Nb  0.6667  0.3333  0.1182  3 C 2.27
Se  0.3333  0.6667  0.3014  3 Nb 2.64
Se  0.6667  0.3333  0.7006  3 Ta 2.64
Ta  0.3333  0.6667  0.8829  3 C 2.23

VASP calculation (GGA-PBE) on Ba2Gd2Si4O13 after structural relaxation.

space-group type	No. 15
E_tot	-329.2	eV per cell
crystal system	monoclinic

Lattice parameters (Å, degrees): 6.9285 6.9285 17.4898 103.21 103.21 44.09
Closest atoms and distances in Å follow each position.
Atoms (fractional coordinates):
Ba  0.3337  0.3450  0.1665  7 O 2.67-2.93
Ba  0.6550  0.6663  0.3335  7 O 2.67-2.93
Ba  0.3450  0.3337  0.6665  7 O 2.67-2.93
Ba  0.6663  0.6550  0.8335  7 O 2.67-2.93
Gd  0.6229  0.6064  0.0851  6 O 2.27-2.48
Gd  0.3936  0.3771  0.4149  6 O 2.27-2.48
Gd  0.6064  0.6229  0.5851  6 O 2.27-2.48
Gd  0.3771  0.3936  0.9149  6 O 2.27-2.48
O  0.6045  0.2544  0.0377  1 Si 1.65
O  0.0591  0.2578  0.0432  1 Si 1.61
O  0.7543  0.8331  0.0961  1 Si 1.63
O  0.1305  0.8346  0.0986  2 Si 1.68-1.71
O  0.8189  0.3415  0.1894  1 Si 1.60
O  0.3949  0.9401  0.1944  1 Si 1.61
O  0.1468  0.8532  0.2500  2 Si 1.66
O  0.0599  0.6051  0.3056  1 Si 1.61
O  0.6585  0.1811  0.3106  1 Si 1.60
O  0.1654  0.8695  0.4014  2 Si 1.68-1.71
O  0.1669  0.2457  0.4039  1 Si 1.63
O  0.7422  0.9409  0.4568  1 Si 1.61
O  0.7456  0.3955  0.4623  1 Si 1.65
O  0.2544  0.6045  0.5377  1 Si 1.65
O  0.2578  0.0591  0.5432  1 Si 1.61
O  0.8331  0.7543  0.5961  1 Si 1.63
O  0.8346  0.1305  0.5986  2 Si 1.68-1.71
O  0.3415  0.8189  0.6894  1 Si 1.60
O  0.9401  0.3949  0.6944  1 Si 1.61
O  0.8532  0.1468  0.7500  2 Si 1.66
O  0.6051  0.0599  0.8056  1 Si 1.61
O  0.1811  0.6585  0.8106  1 Si 1.60
O  0.8695  0.1654  0.9014  2 Si 1.68-1.71
O  0.2457  0.1669  0.9039  1 Si 1.63
O  0.9409  0.7422  0.9568  1 Si 1.61
O  0.3955  0.7456  0.9623  1 Si 1.65
Si  0.8485  0.9138  0.0424  4 O 1.61-1.71
Si  0.1077  0.0194  0.1837  4 O 1.60-1.68
Si  0.9806  0.8923  0.3163  4 O 1.60-1.68
Si  0.0862  0.1515  0.4576  4 O 1.61-1.71
Si  0.9138  0.8485  0.5424  4 O 1.61-1.71
Si  0.0194  0.1077  0.6837  4 O 1.60-1.68
Si  0.8923  0.9806  0.8163  4 O 1.60-1.68
Si  0.1515  0.0862  0.9576  4 O 1.61-1.71

VASP calculation (GGA-PBE) on K2CoAsCl6 after structural relaxation.

space-group type	No. 225
E_tot	-35.2	eV per cell
crystal system	cubic

Lattice parameters (Å, degrees): 7.0082 7.0082 7.0082 60.00 60.00 60.00
Closest atoms and distances in Å follow each position.
Atoms (fractional coordinates):
As  0.0000  0.0000  0.0000  6 Cl 2.53
Cl  0.7444  0.2556  0.2556  1 Co 2.42, 1 As 2.53
Cl  0.2556  0.7444  0.2556  1 Co 2.42, 1 As 2.53
Cl  0.7444  0.7444  0.2556  1 Co 2.42, 1 As 2.53
Cl  0.2556  0.2556  0.7444  1 Co 2.42, 1 As 2.53
Cl  0.7444  0.2556  0.7444  1 Co 2.42, 1 As 2.53
Cl  0.2556  0.7444  0.7444  1 Co 2.42, 1 As 2.53
Co  0.5000  0.5000  0.5000  6 Cl 2.42
K  0.2500  0.2500  0.2500  12 Cl 3.50
K  0.7500  0.7500  0.7500  12 Cl 3.50

VASP calculation (GGA-PBE) on Sr2TaIrN2O4 after structural relaxation.

space-group type	No. 1
E_tot	-155.2	eV per cell
crystal system	triclinic

Lattice parameters (Å, degrees): 5.6368 5.6404 7.9748 89.97 89.90 89.82
Closest atoms and distances in Å follow each position.
Atoms (fractional coordinates):
Ir  0.4849  0.0034  0.0008  2 N 1.89-1.93, 4 O 2.01-2.08
Ir  0.9986  0.4984  0.4994  2 N 1.93-1.96, 4 O 2.01-2.02
N  0.2513  0.7555  0.0224  1 Ir 1.93, 1 Ta 1.93
N  0.7454  0.7362  0.4906  1 Ir 1.96, 1 Ta 2.03
N  0.2493  0.2650  0.5097  1 Ir 1.93, 1 Ta 2.05
N  0.2643  0.2563  0.9906  1 Ir 1.89, 1 Ta 1.96
O  0.7454  0.7446  0.0124  1 Ta 2.06, 1 Ir 2.07
O  0.9700  0.4545  0.2494  1 Ir 2.02, 1 Ta 2.02
O  0.5153  0.0372  0.2513  1 Ta 2.00, 1 Ir 2.01
O  0.2394  0.7590  0.4697  1 Ta 2.00, 1 Ir 2.02
O  0.7561  0.2389  0.5288  1 Ta 2.01, 1 Ir 2.02
O  0.0063  0.5410  0.7493  1 Ir 2.01, 1 Ta 2.02
O  0.4799  0.9635  0.7496  1 Ta 2.00, 1 Ir 2.02
O  0.7621  0.2425  0.9718  1 Ir 2.08, 1 Ta 2.09
Sr  0.9898  0.0016  0.2466  4 O 2.56-2.74, 2 N 2.70-2.81
Sr  0.5090  0.5022  0.2477  4 O 2.61-2.74, 4 N 2.70-2.88
Sr  0.9967  0.9980  0.7536  5 O 2.58-2.88, 2 N 2.83-2.84
Sr  0.5181  0.5001  0.7548  6 O 2.62-2.89, 3 N 2.73-2.81
Ta  0.0212  0.5044  0.0008  2 N 1.93-1.96, 4 O 2.02-2.09
Ta  0.4970  0.9976  0.5005  4 O 2.00-2.01, 2 N 2.03-2.05